Here is a geometry-optimized Mn2TcAsH structure from Alexandria via LeMat-Bulk. Energies are from PBE.

a b c (Å): 3.7393 3.7393 3.9644
angles (deg): 90.00 90.00 90.00
With the nearest neighbours (Å) after each atom.
Positions (direct):
Mn: 0.0000 0.5000 0.0000  2 H 1.87
Mn: 0.5000 0.0000 0.0000  2 H 1.87
Tc: 0.0000 0.0000 0.5000  2 H 1.98
As: 0.5000 0.5000 0.5000  4 Tc 2.64, 8 Mn 2.72
H: 0.0000 0.0000 0.0000  4 Mn 1.87, 2 Tc 1.98

Raw total energy in eV per atom: -7.338
Space-group type: P4/mmm
Density of states at the Fermi level in states/eV/f.u.: 3.2
Size of the total moment in μB/f.u.: 4.9

Here is a geometry-optimized TiMn2AsH structure from Alexandria via LeMat-Bulk. Energies are from PBE.

a b c (Å): 3.7436 3.7436 3.9892
angles (deg): 90.00 90.00 90.00
With the nearest neighbours (Å) after each atom.
Positions (direct):
Ti: 0.0000 0.0000 0.0000  2 H 1.99
Mn: 0.0000 0.5000 0.5000  2 H 1.87
Mn: 0.5000 0.0000 0.5000  2 H 1.87
As: 0.5000 0.5000 0.0000  4 Ti 2.65, 8 Mn 2.74
H: 0.0000 0.0000 0.5000  4 Mn 1.87, 2 Ti 1.99

Raw total energy in eV per atom: -7.152
Space-group type: P4/mmm
Density of states at the Fermi level in states/eV/f.u.: 2.5
Size of the total moment in μB/f.u.: 4.1

Please write out number 2 again, unchanged.
Here is a geometry-optimized TiMn2AsH structure from Alexandria via LeMat-Bulk. Energies are from PBE.

a b c (Å): 3.7436 3.7436 3.9892
angles (deg): 90.00 90.00 90.00
With the nearest neighbours (Å) after each atom.
Positions (direct):
Ti: 0.0000 0.0000 0.0000  2 H 1.99
Mn: 0.0000 0.5000 0.5000  2 H 1.87
Mn: 0.5000 0.0000 0.5000  2 H 1.87
As: 0.5000 0.5000 0.0000  4 Ti 2.65, 8 Mn 2.74
H: 0.0000 0.0000 0.5000  4 Mn 1.87, 2 Ti 1.99

Raw total energy in eV per atom: -7.152
Space-group type: P4/mmm
Density of states at the Fermi level in states/eV/f.u.: 2.5
Size of the total moment in μB/f.u.: 4.1

Which value of size of the total moment does entry 2 give? 4.1 μB/f.u.

Look up the raw total energy of the second one. -7.152 eV per atom